Entry 1:
A relaxed Rb3ClO crystal. Source: the Alexandria database, functional GGA-PBEsol.

Calculated values
Total moment in μB per formula unit: 0.0
Formation energy (no corrections) in eV/atom: -1.30
Crystal system: cubic

Cell: 5.4079 5.4079 5.4079 Å, 90.00 90.00 90.00°
Positions (direct):
Rb 0.0000 0.0000 0.5000
Rb 0.0000 0.5000 0.0000
Rb 0.5000 0.0000 0.0000
Cl 0.5000 0.5000 0.5000
O 0.0000 0.0000 0.0000



Entry 2:
A relaxed Rb3ClO crystal. Source: the Alexandria database, functional GGA-PBEsol.

Calculated values
Total moment in μB per formula unit: 0.1
Formation energy (no corrections) in eV/atom: -1.31
Crystal system: hexagonal

Cell: 7.4970 7.4970 19.7805 Å, 90.00 90.00 120.00°
Positions (direct):
Rb 0.0258 0.5129 0.2500
Rb 0.1694 0.3389 0.0781
Rb 0.1694 0.3389 0.4219
Rb 0.1694 0.8306 0.0781
Rb 0.1694 0.8306 0.4219
Rb 0.3389 0.1694 0.5781
Rb 0.3389 0.1694 0.9219
Rb 0.4871 0.5129 0.2500
Rb 0.4871 0.9742 0.2500
Rb 0.5129 0.0258 0.7500
Rb 0.5129 0.4871 0.7500
Rb 0.6611 0.8306 0.0781
Rb 0.6611 0.8306 0.4219
Rb 0.8306 0.1694 0.5781
Rb 0.8306 0.1694 0.9219
Rb 0.8306 0.6611 0.5781
Rb 0.8306 0.6611 0.9219
Rb 0.9742 0.4871 0.7500
Cl 0.0000 0.0000 0.2500
Cl 0.0000 0.0000 0.7500
Cl 0.3333 0.6667 0.5619
Cl 0.3333 0.6667 0.9381
Cl 0.6667 0.3333 0.0619
Cl 0.6667 0.3333 0.4381
O 0.0000 0.0000 0.0000
O 0.0000 0.0000 0.5000
O 0.3333 0.6667 0.1638
O 0.3333 0.6667 0.3362
O 0.6667 0.3333 0.6638
O 0.6667 0.3333 0.8362



Entry 3:
A relaxed Rb4Cl2O crystal. Source: the Alexandria database, functional GGA-PBEsol.

Calculated values
Total moment in μB per formula unit: 0.1
Formation energy (no corrections) in eV/atom: -1.48
Crystal system: tetragonal

Cell: 8.1346 8.1346 8.1346 Å, 112.04 112.04 104.45°
Positions (direct):
Rb 0.0117 0.7314 0.1489
Rb 0.1371 0.9883 0.7197
Rb 0.1674 0.5186 0.7803
Rb 0.2686 0.4174 0.2803
Rb 0.4814 0.2617 0.6489
Rb 0.5826 0.8629 0.8511
Rb 0.6129 0.8326 0.3511
Rb 0.7383 0.3871 0.2197
Cl 0.3750 0.0168 0.1418
Cl 0.7668 0.6250 0.6418
Cl 0.8750 0.2332 0.8582
Cl 0.9832 0.1250 0.3582
O 0.2500 0.7500 0.5000
O 0.5000 0.5000 0.0000



Entry 4:
A relaxed Rb3ClO crystal. Source: the Alexandria database, functional GGA-PBEsol.

Calculated values
Total moment in μB per formula unit: 0.0
Formation energy (no corrections) in eV/atom: -1.34
Crystal system: orthorhombic

Cell: 7.7197 10.6193 7.4573 Å, 90.00 90.00 90.00°
Positions (direct):
Rb 0.0294 0.2500 0.0889
Rb 0.2053 0.0468 0.7046
Rb 0.2053 0.4532 0.7046
Rb 0.2947 0.5468 0.2046
Rb 0.2947 0.9532 0.2046
Rb 0.4706 0.7500 0.5889
Rb 0.5294 0.2500 0.4111
Rb 0.7053 0.0468 0.7954
Rb 0.7053 0.4532 0.7954
Rb 0.7947 0.5468 0.2954
Rb 0.7947 0.9532 0.2954
Rb 0.9706 0.7500 0.9111
Cl 0.0595 0.7500 0.4822
Cl 0.4405 0.2500 0.9822
Cl 0.5595 0.7500 0.0178
Cl 0.9405 0.2500 0.5178
O 0.0000 0.0000 0.0000
O 0.0000 0.5000 0.0000
O 0.5000 0.0000 0.5000
O 0.5000 0.5000 0.5000